Here is a geometry-optimized Li2CrFeO4 structure from Alexandria via LeMat-Bulk. Energies are from PBE with a Hubbard U.

The structure belongs to space group I-4m2 (No. 119); the cell edges are 4.086, 4.086 and 8.847 Å and the angles 90.00°, 90.00° and 90.00°. The inequivalent atoms are Li at (0.000, 0.000, 0.000), Li at (0.000, 0.500, 0.250), Cr at (0.000, 0.500, 0.750), Fe at (0.000, 0.000, 0.500), O at (0.000, 0.000, 0.269) and O at (0.000, 0.500, 0.522).

The electronic total energy is -6.4683 eV per atom. Its energy relative to the lowest polymorph listed for this composition is 38 meV/atom. Its crystal system is tetragonal.